A relaxed structure of Y12Co5Bi. Source: Alexandria, functional PBE-GGA.

Calculated values
Calculated formation energy   -26.6 kJ/mol of atoms
Total moment   0.00 μB per formula unit
V   448.8 Å³/cell

abc: 8.3578 8.3578 8.3578
angles: 110.87 110.51 107.06
Atoms (fractional coordinates):
Y 0.0103 0.2050 0.8052
Y 0.1839 0.2897 0.4735
Y 0.1839 0.7103 0.8942
Y 0.3110 0.0032 0.6921
Y 0.3110 0.6189 0.3079
Y 0.3998 0.2050 0.1948
Y 0.6002 0.7950 0.8052
Y 0.6890 0.3811 0.6921
Y 0.6890 0.9968 0.3079
Y 0.8161 0.2897 0.1058
Y 0.8161 0.7103 0.5265
Y 0.9897 0.7950 0.1948
Co 0.0000 0.0000 0.0000
Co 0.1103 0.6103 0.5000
Co 0.3805 0.0000 0.3805
Co 0.6195 0.0000 0.6195
Co 0.8897 0.3897 0.5000
Bi 0.5000 0.5000 0.0000